Entry 1:
VASP calculation (PBE) on a relaxed Li3Ac2Ag12Sn crystal.

Lattice parameters (Å, degrees): 11.2261 11.2261 11.2261 34.59 34.59 34.59
Atoms (fractional coordinates):
Li (0.0000, 0.5000, 0.5000)
Li (0.5000, 0.0000, 0.5000)
Li (0.5000, 0.5000, 0.0000)
Ac (0.1391, 0.1391, 0.1391)
Ac (0.8609, 0.8609, 0.8609)
Ag (0.0783, 0.6145, 0.6145)
Ag (0.0949, 0.0949, 0.6831)
Ag (0.0949, 0.6831, 0.0949)
Ag (0.3169, 0.9051, 0.9051)
Ag (0.3855, 0.3855, 0.9217)
Ag (0.3855, 0.9217, 0.3855)
Ag (0.6145, 0.0783, 0.6145)
Ag (0.6145, 0.6145, 0.0783)
Ag (0.6831, 0.0949, 0.0949)
Ag (0.9051, 0.3169, 0.9051)
Ag (0.9051, 0.9051, 0.3169)
Ag (0.9217, 0.3855, 0.3855)
Sn (0.5000, 0.5000, 0.5000)

Results
**ρ**: 7.71 g/cm³
**VASP energy**: -52.6 eV for the cell shown


Entry 2:
VASP calculation (PBE) on a relaxed SrTi3Cu crystal.

Lattice parameters (Å, degrees): 4.8504 4.8504 4.8504 90.00 90.00 90.00
Atoms (fractional coordinates):
Sr (0.0000, 0.0000, 0.0000)
Ti (0.0000, 0.5000, 0.5000)
Ti (0.5000, 0.0000, 0.5000)
Ti (0.5000, 0.5000, 0.0000)
Cu (0.5000, 0.5000, 0.5000)

Results
**ρ**: 4.29 g/cm³
**VASP energy**: -26.1 eV for the cell shown


Entry 3:
VASP calculation (PBE) on a relaxed ZrNpTcPd crystal.

Lattice parameters (Å, degrees): 4.7682 4.7682 4.7682 60.00 60.00 60.00
Atoms (fractional coordinates):
Zr (0.0000, 0.0000, 0.0000)
Np (0.5000, 0.5000, 0.5000)
Tc (0.7500, 0.7500, 0.7500)
Pd (0.2500, 0.2500, 0.2500)

Results
**ρ**: 11.54 g/cm³
**VASP energy**: -37.7 eV for the cell shown


Entry 4:
VASP calculation (PBE) on a relaxed LaSnS3 crystal.

Lattice parameters (Å, degrees): 5.4447 5.4447 5.4447 90.00 90.00 90.00
Atoms (fractional coordinates):
La (0.0000, 0.0000, 0.0000)
Sn (0.5000, 0.5000, 0.5000)
S (0.0000, 0.0000, 0.5000)
S (0.0000, 0.5000, 0.0000)
S (0.5000, 0.0000, 0.0000)

Results
**ρ**: 3.64 g/cm³
**Raw formation energy**: -2.32 eV/f.u.
**VASP energy**: -23.6 eV for the cell shown


Entry 5:
VASP calculation (PBE) on a relaxed LaMg6Cd6 crystal.

Lattice parameters (Å, degrees): 7.7076 7.7076 7.7076 134.70 98.89 98.16
Atoms (fractional coordinates):
La (0.0000, 0.0000, 0.0000)
Mg (0.2113, 0.7113, 0.5000)
Mg (0.3512, 0.0000, 0.3512)
Mg (0.3506, 0.3506, 0.0000)
Mg (0.6488, 0.0000, 0.6488)
Mg (0.6494, 0.6494, 0.0000)
Mg (0.7887, 0.2887, 0.5000)
Cd (0.0000, 0.0000, 0.5000)
Cd (0.0000, 0.5000, 0.0000)
Cd (0.2142, 0.5000, 0.7142)
Cd (0.5000, 0.0000, 0.0000)
Cd (0.5000, 0.5000, 0.5000)
Cd (0.7858, 0.5000, 0.2858)

Results
**ρ**: 5.30 g/cm³
**VASP energy**: -22.3 eV for the cell shown


Entry 6:
VASP calculation (PBE) on a relaxed La5Nd4Sc crystal.

Lattice parameters (Å, degrees): 3.7204 3.7204 25.3322 90.00 90.00 90.00
Atoms (fractional coordinates):
La (0.0000, 0.0000, 0.0000)
La (0.0000, 0.0000, 0.2062)
La (0.0000, 0.0000, 0.4109)
La (0.0000, 0.0000, 0.5891)
La (0.0000, 0.0000, 0.7938)
Nd (0.5000, 0.5000, 0.1032)
Nd (0.5000, 0.5000, 0.3094)
Nd (0.5000, 0.5000, 0.6906)
Nd (0.5000, 0.5000, 0.8968)
Sc (0.5000, 0.5000, 0.5000)

Results
**ρ**: 6.23 g/cm³
**VASP energy**: -49.8 eV for the cell shown


Entry 7:
VASP calculation (PBE) on a relaxed Tm6InAu2 crystal.

Lattice parameters (Å, degrees): 8.5586 8.5586 8.5586 112.65 111.54 104.34
Atoms (fractional coordinates):
Tm (0.0377, 0.2386, 0.7991)
Tm (0.1853, 0.2865, 0.4718)
Tm (0.1853, 0.7135, 0.8987)
Tm (0.3268, 0.0323, 0.7055)
Tm (0.3268, 0.6212, 0.2945)
Tm (0.4395, 0.2386, 0.2009)
Tm (0.5605, 0.7614, 0.7991)
Tm (0.6732, 0.3788, 0.7055)
Tm (0.6732, 0.9677, 0.2945)
Tm (0.8147, 0.2865, 0.1013)
Tm (0.8147, 0.7135, 0.5282)
Tm (0.9624, 0.7614, 0.2009)
In (0.0000, 0.0000, 0.0000)
In (0.5000, 0.5000, 0.0000)
Au (0.1344, 0.6344, 0.5000)
Au (0.3427, 0.0000, 0.3427)
Au (0.6573, 0.0000, 0.6573)
Au (0.8656, 0.3656, 0.5000)

Results
**ρ**: 10.54 g/cm³
**VASP energy**: -81.4 eV for the cell shown


Entry 8:
VASP calculation (PBE) on a relaxed LiSbRuRh crystal.

Lattice parameters (Å, degrees): 4.3633 4.3633 4.3633 60.00 60.00 60.00
Atoms (fractional coordinates):
Li (0.0000, 0.0000, 0.0000)
Sb (0.5000, 0.5000, 0.5000)
Ru (0.7500, 0.7500, 0.7500)
Rh (0.2500, 0.2500, 0.2500)

Results
**ρ**: 9.40 g/cm³
**Raw formation energy**: -1.62 eV/f.u.
**VASP energy**: -24.3 eV for the cell shown


Entry 9:
VASP calculation (PBE) on a relaxed KNa3Ti crystal.

Lattice parameters (Å, degrees): 6.1695 6.1695 6.1695 90.00 90.00 90.00
Atoms (fractional coordinates):
K (0.0000, 0.0000, 0.0000)
Na (0.0000, 0.5000, 0.5000)
Na (0.5000, 0.0000, 0.5000)
Na (0.5000, 0.5000, 0.0000)
Ti (0.5000, 0.5000, 0.5000)

Results
**ρ**: 1.10 g/cm³
**VASP energy**: -9.1 eV for the cell shown


Entry 10:
VASP calculation (PBE) on a relaxed TbTm2Th3Se6 crystal.

Lattice parameters (Å, degrees): 6.8859 6.8859 7.5841 98.70 98.70 119.77
Atoms (fractional coordinates):
Tb (0.0000, 0.0000, 0.0000)
Tm (0.3329, 0.6671, 0.0000)
Tm (0.6671, 0.3329, 0.0000)
Th (0.1644, 0.8356, 0.5000)
Th (0.5000, 0.5000, 0.5000)
Th (0.8356, 0.1644, 0.5000)
Se (0.0772, 0.4151, 0.2310)
Se (0.2620, 0.2620, 0.7717)
Se (0.4151, 0.0772, 0.2310)
Se (0.5849, 0.9228, 0.7690)
Se (0.7380, 0.7380, 0.2283)
Se (0.9228, 0.5849, 0.7690)

Results
**ρ**: 9.30 g/cm³
**Raw formation energy**: -19.40 eV/f.u.
**VASP energy**: -76.1 eV for the cell shown


Entry 11:
VASP calculation (PBE) on a relaxed La2SmYEr crystal.

Lattice parameters (Å, degrees): 5.8718 5.8718 11.1824 90.00 90.00 108.22
Atoms (fractional coordinates):
La (0.2461, 0.2461, 0.0000)
La (0.2461, 0.2461, 0.5000)
La (0.7539, 0.7539, 0.0000)
La (0.7539, 0.7539, 0.5000)
Sm (0.3855, 0.6145, 0.7500)
Sm (0.6145, 0.3855, 0.2500)
Y (0.2663, 0.7337, 0.2500)
Y (0.7337, 0.2663, 0.7500)
Er (0.0694, 0.9306, 0.7500)
Er (0.9306, 0.0694, 0.2500)

Results
**ρ**: 6.21 g/cm³
**VASP energy**: -47.9 eV for the cell shown


Entry 12:
VASP calculation (PBE) on a relaxed Ca2CdMoAu crystal.

Lattice parameters (Å, degrees): 5.6320 5.6320 4.9807 90.00 90.00 90.00
Atoms (fractional coordinates):
Ca (0.0000, 0.5000, 0.0000)
Ca (0.5000, 0.0000, 0.0000)
Cd (0.0000, 0.0000, 0.5000)
Mo (0.5000, 0.5000, 0.0000)
Au (0.5000, 0.5000, 0.5000)

Results
**ρ**: 5.10 g/cm³
**VASP energy**: -15.8 eV for the cell shown


Which of these has the highest ρ? ZrNpTcPd


Which of these has the highest VASP energy? KNa3Ti